TlReRh2: optimized geometry, PBE.

Unit cell a=4.838 b=4.838 c=4.838 alpha=130.21 beta=130.21 gamma=73.07
Each line ends with the local moment (μB).
Positions (direct):
Tl 0.000 0.000 0.000  0.01
Re 0.500 0.500 0.000  0.96
Rh 0.750 0.250 0.500  0.11
Rh 0.250 0.750 0.500  0.11

Values from the calculation:
Offset from the most stable computed form, meV/atom: 298
M_tot, μB per formula unit: 1.284
Energy relative to the elements, eV per atom: 0.378
Space-group type: I4/mmm, No. 139